[1]
{"formula": "NiRuF3", "functional": "GGA+U", "state": "relaxed", "e_tot_ev_per_cell": -19.021, "polymorph_energy_ev_per_atom": 0.576, "magnetic_moment_mub_per_atom": 0.053, "cell": [[-2.200, 2.302, 2.657], [-2.795, 0.755, -2.969], [-2.132, -3.366, 1.151]], "species": ["Ru", "F", "F", "F", "Ni"], "frac_coords": [[0.000, 0.000, 0.000], [0.000, 0.500, 0.000], [0.000, 0.000, 0.500], [0.500, 0.000, 0.000], [0.500, 0.500, 0.500]]}

=====

[2]
{"formula": "NiRu2F11", "functional": "GGA+U", "state": "relaxed", "e_tot_ev_per_cell": -130.718, "magnetic_moment_mub_per_atom": 0.214, "cell": [[-8.958, -3.619, 1.955], [-5.266, -3.314, -5.415], [-2.083, -7.961, 0.568]], "species": ["Ni", "Ni", "Ru", "Ru", "Ru", "Ru", "F", "F", "F", "F", "F", "F", "F", "F", "F", "F", "F", "F", "F", "F", "F", "F", "F", "F", "F", "F", "F", "F"], "frac_coords": [[0.750, 0.750, 0.750], [0.250, 0.250, 0.250], [0.597, 0.715, 0.285], [0.403, 0.285, 0.715], [0.903, 0.215, 0.785], [0.097, 0.785, 0.215], [0.558, 0.774, 0.504], [0.442, 0.226, 0.496], [0.164, 0.504, 0.774], [0.942, 0.996, 0.726], [0.836, 0.496, 0.226], [0.058, 0.004, 0.274], [0.336, 0.726, 0.996], [0.664, 0.274, 0.004], [0.500, 0.500, 0.500], [0.000, 0.000, 0.000], [0.696, 0.908, 0.092], [0.304, 0.092, 0.908], [0.804, 0.408, 0.592], [0.196, 0.592, 0.408], [0.347, 0.948, 0.307], [0.653, 0.052, 0.693], [0.397, 0.307, 0.948], [0.153, 0.193, 0.552], [0.603, 0.693, 0.052], [0.847, 0.807, 0.448], [0.103, 0.552, 0.193], [0.897, 0.448, 0.807]]}

=====

[3]
{"formula": "NiRuF2", "functional": "GGA+U", "state": "relaxed", "e_tot_ev_per_cell": -33.267, "polymorph_energy_ev_per_atom": 0.134, "magnetic_moment_mub_per_atom": 1.066, "cell": [[-1.439, -5.949, -0.297], [2.094, -0.791, 5.704], [-2.159, -2.818, 3.693]], "species": ["Ru", "Ru", "F", "F", "F", "F", "Ni", "Ni"], "frac_coords": [[0.000, 0.000, 0.000], [0.750, 0.250, 0.500], [0.574, 0.125, 0.250], [0.176, 0.625, 0.250], [0.375, 0.426, 0.750], [0.875, 0.824, 0.750], [0.500, 0.500, 0.000], [0.250, 0.750, 0.500]]}

=====

[4]
{"formula": "Ni2RuF8", "functional": "GGA+U", "state": "relaxed", "e_tot_ev_per_cell": -48.078, "magnetic_moment_mub_per_atom": 0.545, "cell": [[-3.049, 0.834, 4.035], [-3.703, -2.596, -2.262], [-0.956, -5.085, 3.584]], "species": ["Ni", "Ni", "Ru", "F", "F", "F", "F", "F", "F", "F", "F"], "frac_coords": [[0.777, 0.261, 0.446], [0.223, 0.739, 0.554], [0.000, 0.000, 0.000], [0.890, 0.938, 0.745], [0.635, 0.062, 0.255], [0.920, 0.617, 0.160], [0.080, 0.383, 0.840], [0.365, 0.938, 0.745], [0.110, 0.062, 0.255], [0.679, 0.490, 0.642], [0.321, 0.510, 0.358]]}

=====

[5]
{"formula": "NiRuF2", "functional": "GGA+U", "state": "relaxed", "e_tot_ev_per_cell": -17.168, "polymorph_energy_ev_per_atom": 0.000, "magnetic_moment_mub_per_atom": 0.943, "cell": [[4.053, 6.312, 1.162], [4.912, 4.732, 3.331], [6.114, 4.426, 0.802]], "species": ["Ru", "F", "F", "Ni"], "frac_coords": [[0.500, 0.500, 0.500], [0.912, 0.912, 0.912], [0.088, 0.088, 0.088], [0.000, 0.000, 0.000]]}

=====

[6]
{"formula": "ScNi2RuF", "functional": "GGA+U", "state": "relaxed", "e_tot_ev_per_cell": -14.133, "magnetic_moment_mub_per_atom": 0.000, "cell": [[-2.968, 2.139, -2.358], [-3.324, -3.154, 1.324], [-0.966, 2.467, 3.453]], "species": ["Sc", "Ru", "F", "Ni", "Ni"], "frac_coords": [[0.000, 0.000, 0.000], [0.000, 0.500, 0.000], [0.500, 0.500, 0.500], [0.000, 0.000, 0.500], [0.500, 0.000, 0.000]]}